(1)
Ca2YZnGa: relaxed, PBE.

Unit cell a=5.633 b=4.754 c=5.633 alpha=90.00 beta=90.00 gamma=90.00
Fractional coordinates of all 5 atoms:
Y 0.500 0.500 0.500
Zn 0.000 0.000 0.000
Ca 0.000 0.000 0.500
Ca 0.500 0.000 0.000
Ga 0.000 0.500 0.000

Output
ΔE_f = 0.132 eV/atom
raw total energy = -2.822 eV/atom

=====

(2)
CaY2ZnGa: relaxed, PBE.

Unit cell a=5.398 b=5.477 c=5.398 alpha=90.00 beta=90.00 gamma=90.00
Fractional coordinates of all 5 atoms:
Y 0.000 0.000 0.500
Y 0.500 0.000 0.000
Zn 0.000 0.000 0.000
Ca 0.000 0.500 0.000
Ga 0.500 0.500 0.500

Output
ΔE_f = 0.188 eV/atom
raw total energy = -3.658 eV/atom